1.
## MgReSb2 (GGA-PBEsol)

Data for a geometry-optimized MgReSb2 structure.

Lattice parameters (Å, degrees): 3.1214 3.1214 10.0237 90.00 90.00 117.07
Fractional coordinates of all 4 atoms:
Sb 0.0000 0.0000 0.7847
Sb 0.0000 0.0000 0.2153
Mg 0.5000 0.5000 0.5000
Re 0.5000 0.5000 0.0000

Computed properties:
Raw total energy: -5.551 eV per atom
Symmetry: Cmmm (65)
ΔE_f (raw): 0.49 eV/atom

***

2.
## BeTl3Se (GGA-PBEsol)

Data for a geometry-optimized BeTl3Se structure.

Lattice parameters (Å, degrees): 4.9368 4.9368 4.9368 90.00 90.00 90.00
Fractional coordinates of all 5 atoms:
Be 0.0000 0.0000 0.0000
Tl 0.0000 0.0000 0.5000
Tl 0.5000 0.0000 0.0000
Tl 0.0000 0.5000 0.0000
Se 0.5000 0.5000 0.5000

Computed properties:
Raw total energy: -3.037 eV per atom
Symmetry: Pm-3m (221)
ΔE_f (raw): 0.11 eV/atom

***

3.
## AgHg2Br (GGA-PBEsol)

Data for a geometry-optimized AgHg2Br structure.

Lattice parameters (Å, degrees): 3.7405 3.7393 8.3109 76.99 76.99 59.99
Fractional coordinates of all 4 atoms:
Hg 0.7578 0.7577 0.7267
Hg 0.0037 0.0024 0.9903
Br 0.2375 0.2383 0.2866
Ag 0.5010 0.5016 0.4964

Computed properties:
Raw total energy: -1.676 eV per atom
Symmetry: R3m (160)
Relative energy among the computed polymorphs: 0.000 eV per atom
ΔE_f (raw): -0.10 eV/atom

***

What did the first record say?
## MgReSb2 (GGA-PBEsol)

Data for a geometry-optimized MgReSb2 structure.

Lattice parameters (Å, degrees): 3.1214 3.1214 10.0237 90.00 90.00 117.07
Fractional coordinates of all 4 atoms:
Sb 0.0000 0.0000 0.7847
Sb 0.0000 0.0000 0.2153
Mg 0.5000 0.5000 0.5000
Re 0.5000 0.5000 0.0000

Computed properties:
Raw total energy: -5.551 eV per atom
Symmetry: Cmmm (65)
ΔE_f (raw): 0.49 eV/atom

***

Which value of raw total energy does entry 3 give? -1.676 eV per atom

***

Copy entry 2 word for word.
## BeTl3Se (GGA-PBEsol)

Data for a geometry-optimized BeTl3Se structure.

Lattice parameters (Å, degrees): 4.9368 4.9368 4.9368 90.00 90.00 90.00
Fractional coordinates of all 5 atoms:
Be 0.0000 0.0000 0.0000
Tl 0.0000 0.0000 0.5000
Tl 0.5000 0.0000 0.0000
Tl 0.0000 0.5000 0.0000
Se 0.5000 0.5000 0.5000

Computed properties:
Raw total energy: -3.037 eV per atom
Symmetry: Pm-3m (221)
ΔE_f (raw): 0.11 eV/atom